{
  "formula": "YHgSb2",
  "functional": "PBE-GGA",
  "state": "relaxed",
  "e_form_raw_ev_per_atom": -0.417,
  "relative_energy_ev_per_atom": 0.066,
  "spacegroup": "No. 99",
  "crystal_system": "tetragonal",
  "magnetic_moment_mub_per_cell": 0.00,
  "lattice": [[4.1693, 0.0000, 0.0000], [0.0000, 4.1693, 0.0000], [0.0000, 0.0000, 6.3098]],
  "species": ["Y", "Hg", "Sb", "Sb"],
  "frac_coords": [[0.0000, 0.0000, 0.0000], [0.5000, 0.5000, 0.3165], [0.0000, 0.0000, 0.4913], [0.5000, 0.5000, 0.8428]]
}

=====

{
  "formula": "YHgSb2",
  "functional": "PBE-GGA",
  "state": "relaxed",
  "e_form_raw_ev_per_atom": -0.445,
  "relative_energy_ev_per_atom": 0.038,
  "spacegroup": "No. 6",
  "crystal_system": "monoclinic",
  "magnetic_moment_mub_per_cell": 0.00,
  "lattice": [[4.3054, 0.0000, 0.0000], [0.0000, 4.4260, 0.0000], [-1.2720, 0.0000, 5.7182]],
  "species": ["Y", "Hg", "Sb", "Sb"],
  "frac_coords": [[0.0000, 0.0000, 0.0000], [0.1083, 0.5000, 0.4262], [0.4849, 0.5000, 0.9152], [0.6294, 0.0000, 0.4427]]
}

=====

{
  "formula": "YHgSb2",
  "functional": "PBE-GGA",
  "state": "relaxed",
  "e_form_raw_ev_per_atom": -0.430,
  "relative_energy_ev_per_atom": 0.053,
  "spacegroup": "No. 44",
  "crystal_system": "orthorhombic",
  "magnetic_moment_mub_per_cell": 0.00,
  "lattice": [[-2.1925, 2.1987, 5.4489], [2.1925, -2.1987, 5.4489], [2.1925, 2.1987, -5.4489]],
  "species": ["Y", "Hg", "Sb", "Sb"],
  "frac_coords": [[0.0000, 0.0000, 0.0000], [0.2509, 0.7509, 0.5000], [0.4998, 0.4998, 0.0000], [0.7488, 0.2488, 0.5000]]
}

=====

{
  "formula": "YHgSb2",
  "functional": "PBE-GGA",
  "state": "relaxed",
  "e_form_raw_ev_per_atom": -0.469,
  "relative_energy_ev_per_atom": 0.014,
  "spacegroup": "No. 8",
  "crystal_system": "monoclinic",
  "magnetic_moment_mub_per_cell": 0.00,
  "lattice": [[5.6899, -2.0932, 0.0000], [5.6899, 2.0932, 0.0000], [-0.9918, 0.0000, 4.5200]],
  "species": ["Y", "Hg", "Sb", "Sb"],
  "frac_coords": [[0.0000, 0.0000, 0.0000], [0.2113, 0.2113, 0.6033], [0.4591, 0.4591, 0.4806], [0.7257, 0.7257, 0.0795]]
}

=====

{
  "formula": "YHg4Sb",
  "functional": "PBE-GGA",
  "state": "relaxed",
  "e_form_raw_ev_per_atom": -0.037,
  "spacegroup": "No. 216",
  "crystal_system": "cubic",
  "magnetic_moment_mub_per_cell": 0.00,
  "lattice": [[0.0000, 4.2643, 4.2643], [4.2643, 0.0000, 4.2643], [4.2643, 4.2643, 0.0000]],
  "species": ["Y", "Hg", "Hg", "Hg", "Hg", "Sb"],
  "frac_coords": [[0.0000, 0.0000, 0.0000], [0.1254, 0.6249, 0.6249], [0.6249, 0.1254, 0.6249], [0.6249, 0.6249, 0.1254], [0.6249, 0.6249, 0.6249], [0.2500, 0.2500, 0.2500]]
}

=====

{
  "formula": "YHg3Sb",
  "functional": "PBE-GGA",
  "state": "relaxed",
  "e_form_raw_ev_per_atom": 0.407,
  "relative_energy_ev_per_atom": 0.000,
  "spacegroup": "No. 221",
  "crystal_system": "cubic",
  "magnetic_moment_mub_per_cell": 0.00,
  "lattice": [[5.4804, 0.0000, 0.0000], [0.0000, 5.4804, 0.0000], [0.0000, 0.0000, 5.4804]],
  "species": ["Y", "Hg", "Hg", "Hg", "Sb"],
  "frac_coords": [[0.0000, 0.0000, 0.0000], [0.0000, 0.5000, 0.5000], [0.5000, 0.0000, 0.5000], [0.5000, 0.5000, 0.0000], [0.5000, 0.5000, 0.5000]]
}